{"formula": "CaCoSe2", "functional": "GGA-PBE", "state": "optimized geometry", "crystal_system": "trigonal", "formation_energy_uncorrected_mev_per_atom": -523, "dft_energy_ev_per_atom": -4.542, "dos_at_fermi_per_ev_cell": 13.3, "de_polymorph_kj_per_mol_atoms": 32.23, "lattice": [[2.564, 0.000, 7.474], [-1.282, 2.221, 7.474], [-1.282, -2.221, 7.474]], "species": ["Ca", "Co", "Se", "Se"], "frac_coords": [[0.500, 0.500, 0.500], [0.000, 0.000, 0.000], [0.900, 0.900, 0.900], [0.100, 0.100, 0.100]]}